DFT (PBE) results for a geometry-optimized Pr2Y2CI2Br2Cl structure.

abc: 18.7835 3.9588 8.2763
angles: 90.00 100.46 90.00
With the nearest neighbours (Å) after each atom.
Space group C2/m (No. 12)
Symmetry-distinct sites (fractional):
Pr  0.0033  0.0000  0.2872 x4  2 C 2.66
Y  0.1305  0.5000  0.5600 x4  1 C 2.41
C  0.0000  0.5000  0.5000 x2  2 Y 2.41, 4 Pr 2.66
I  0.1680  0.0000  0.8440 x4  2 Y 3.06, 1 Pr 3.20
Br  0.1706  0.0000  0.3357 x4  2 Y 2.91, 1 Pr 3.10
Cl  0.0000  0.5000  0.0000 x2  4 Pr 3.08

Energy above the most stable polymorph in this dataset   8 meV per atom

***

DFT (PBE) results for a geometry-optimized Sb2Mo structure.

abc: 11.6825 11.6825 11.6825
angles: 90.00 90.00 90.00
With the nearest neighbours (Å) after each atom.
Space group Fd-3m (No. 227, origin choice 2)
Symmetry-distinct sites (fractional):
Sb  0.0000  0.0000  0.0000 x16  2 Mo 2.53
Mo  0.1250  0.1250  0.1250 x8  4 Sb 2.53

DFT total energy   -16.494 eV/f.u.

***

DFT (PBE) results for a geometry-optimized BaNaPrTe3 structure.

abc: 4.7420 15.2909 11.8766
angles: 90.00 90.00 90.00
With the nearest neighbours (Å) after each atom.
Space group Cmcm (No. 63)
Symmetry-distinct sites (fractional):
Ba  0.0000  0.2476  0.2500 x4  6 Te 3.48-3.73
Na  0.0000  0.4743  0.7500 x4  4 Te 2.92-2.95
Pr  0.0000  0.0000  0.0000 x4  6 Te 3.25-3.26
Te  0.0000  0.0858  0.7500 x4  2 Na 2.92, 2 Pr 3.25
Te  0.0000  0.3593  0.5509 x8  1 Na 2.95, 2 Pr 3.26

DFT total energy   -25.755 eV/f.u.

***

DFT (PBE) results for a geometry-optimized HgB4Mo structure.

abc: 2.9757 2.9757 9.5548
angles: 90.00 90.00 120.00
With the nearest neighbours (Å) after each atom.
Space group P6/mmm (No. 191)
Symmetry-distinct sites (fractional):
Hg  0.0000  0.0000  0.0000 x1  6 Hg 2.98
B  0.3333  0.6667  0.3271 x4  3 B 1.72
Mo  0.0000  0.0000  0.5000 x1  12 B 2.38

Energy above the most stable polymorph in this dataset   0 meV per atom

***

DFT (PBE) results for a geometry-optimized ZrZnAgPd structure.

abc: 6.5293 6.5293 6.5293
angles: 90.00 90.00 90.00
With the nearest neighbours (Å) after each atom.
Space group F-43m (No. 216)
Symmetry-distinct sites (fractional):
Zr  0.0000  0.0000  0.0000 x4  4 Pd 2.83, 4 Zn 2.83
Zn  0.2500  0.2500  0.2500 x4  4 Zr 2.83, 4 Ag 2.83
Ag  0.0000  0.0000  0.5000 x4  4 Zn 2.83, 4 Pd 2.83
Pd  0.2500  0.2500  0.7500 x4  4 Ag 2.83, 4 Zr 2.83

ΔH_f (0 K)   -316 meV per atom
Energy above the most stable polymorph in this dataset   29 meV per atom

***

DFT (PBE) results for a geometry-optimized CdSi structure.

abc: 3.4169 3.4169 3.4169
angles: 90.00 90.00 90.00
With the nearest neighbours (Å) after each atom.
Space group Pm-3m (No. 221)
Symmetry-distinct sites (fractional):
Cd  0.0000  0.0000  0.0000 x1  8 Si 2.96
Si  0.5000  0.5000  0.5000 x1  8 Cd 2.96

DFT total energy   -5.232 eV/f.u.

***

DFT (PBE) results for a geometry-optimized ScPdPb2 structure.

abc: 7.2072 7.2072 7.2072
angles: 90.00 90.00 90.00
With the nearest neighbours (Å) after each atom.
Space group F-43m (No. 216)
Symmetry-distinct sites (fractional):
Sc  0.0000  0.0000  0.0000 x4  4 Pb 3.12, 4 Pd 3.12
Pd  0.2500  0.2500  0.7500 x4  4 Pb 3.12, 4 Sc 3.12
Pb  0.0000  0.0000  0.5000 x4  4 Pb 3.12, 4 Pd 3.12
Pb  0.2500  0.2500  0.2500 x4  4 Sc 3.12, 4 Pb 3.12

DFT total energy   -19.561 eV/f.u.

***

DFT (PBE) results for a geometry-optimized BaAlHg structure.

abc: 7.4043 7.4043 7.4043
angles: 90.00 90.00 90.00
With the nearest neighbours (Å) after each atom.
Space group F-43m (No. 216)
Symmetry-distinct sites (fractional):
Ba  0.0000  0.0000  0.0000 x4  4 Al 3.21
Al  0.2500  0.2500  0.2500 x4  4 Hg 3.21, 4 Ba 3.21
Hg  0.0000  0.0000  0.5000 x4  4 Al 3.21

Energy above the most stable polymorph in this dataset   59 meV per atom